[1]
First-principles (PBEsol) data for a relaxed CsNp2Se6 crystal, as listed in Alexandria via LeMat-Bulk.

The calculated total energy is -6.6772 eV/atom. For the uncorrected formation energy, the calculation gives -0.93 eV per atom. The volume comes out at 27.7 Å³/atom.

Cell: 3.971 5.391 12.127 Å, 102.84 99.42 90.00°
Positions (direct):
Se (0.381, 0.132, 0.761)
Se (0.225, 0.725, 0.450)
Se (0.619, 0.370, 0.239)
Se (0.619, 0.868, 0.239)
Se (0.775, 0.275, 0.550)
Se (0.381, 0.630, 0.761)
Np (0.812, 0.812, 0.623)
Np (0.188, 0.188, 0.377)
Cs (0.000, 0.000, 0.000)

=====

[2]
First-principles (PBEsol) data for a relaxed Be3GaN crystal, as listed in Alexandria via LeMat-Bulk.

The calculated total energy is -3.1305 eV/atom. For the uncorrected formation energy, the calculation gives 1.64 eV per atom. The volume comes out at 14.4 Å³/atom.

Cell: 4.160 4.160 4.160 Å, 90.00 90.00 90.00°
Positions (direct):
Ga (0.000, 0.000, 0.000)
Be (0.000, 0.500, 0.000)
Be (0.500, 0.000, 0.000)
Be (0.000, 0.000, 0.500)
N (0.500, 0.500, 0.500)

=====

Q: Which value of volume does entry 2 give?
A: 14.4 Å³/atom

=====

Q: Look up the calculated total energy of the second one.
A: -3.1305 eV/atom

=====

Q: What is the volume in the second record?
A: 14.4 Å³/atom

=====

Q: Which of these has the highest volume?
A: CsNp2Se6